[1]
NaNd2FeO5 | the Alexandria database | GGA+U | optimized geometry; calculated volume = 14.42 Å³/atom; calculated total energy = -7.01 eV/atom
1.0
-3.308 -3.662 2.802
1.096 -4.652 -4.787
5.386 -2.249 3.419
O Nd Na Fe
10 4 2 2
Cartesian
1.030 -4.823 3.662 O
2.759 -2.909 2.198 O
-1.405 -4.797 0.822 O
-1.654 -1.831 1.401 O
2.145 -5.741 -2.228 O
0.324 -2.883 -0.643 O
1.587 -5.282 0.717 O
0.416 -7.655 -0.764 O
4.579 -5.766 0.612 O
2.850 -7.680 2.077 O
2.899 -7.180 -0.216 Nd
3.127 -5.178 2.670 Nd
0.048 -5.385 -1.236 Nd
0.276 -3.383 1.650 Nd
3.241 -3.451 -0.684 Na
0.000 0.000 0.000 Na
0.548 -2.326 -2.393 Fe
2.693 -1.125 1.710 Fe

***

[2]
Na2NdFeO4 | the Alexandria database | GGA+U | optimized geometry; calculated volume = 13.63 Å³/atom; calculated total energy = -5.89 eV/atom
1.0
3.415 0.000 0.000
-1.708 5.728 0.000
0.000 0.000 11.146
O Nd Na Fe
8 2 4 2
Cartesian
1.708 2.480 9.608 O
0.000 4.941 8.359 O
0.000 3.247 4.035 O
0.000 0.000 5.573 O
1.708 0.787 2.786 O
0.000 0.000 0.000 O
0.000 3.247 1.538 O
1.708 2.480 7.111 O
1.708 4.534 2.786 Nd
0.000 1.193 8.359 Nd
1.708 1.411 0.379 Na
0.000 4.317 10.767 Na
1.708 1.411 5.194 Na
0.000 4.317 5.952 Na
0.000 1.848 2.786 Fe
1.708 3.879 8.359 Fe